Record 1
A plane-wave DFT calculation with PBE was carried out for crystalline LiGdZn2 at its relaxed geometry.

Geometry as POSCAR:
```
LiGdZn2
1.0
6.816 0.000 0.000
0.000 6.816 0.000
0.000 0.000 6.816
Li Gd Zn
4 4 8
Cartesian
0.000 0.000 0.000
0.000 3.408 3.408
3.408 0.000 3.408
3.408 3.408 0.000
0.000 0.000 3.408
0.000 3.408 0.000
3.408 0.000 0.000
3.408 3.408 3.408
1.704 1.704 1.704
1.704 1.704 5.112
1.704 5.112 1.704
1.704 5.112 5.112
5.112 1.704 1.704
5.112 1.704 5.112
5.112 5.112 1.704
5.112 5.112 5.112
```

The value obtained for the energy of formation from the pure elements is -0.23 eV/atom. Its crystal system is cubic.

---

Record 2
A plane-wave DFT calculation with PBE was carried out for crystalline Li4GdZn at its relaxed geometry.

Geometry as POSCAR:
```
Li4GdZn
1.0
0.000 3.838 3.838
3.838 0.000 3.838
3.838 3.838 0.000
Li Gd Zn
4 1 1
Cartesian
2.898 2.898 2.898
4.779 4.779 2.898
4.779 2.898 4.779
2.898 4.779 4.779
0.000 0.000 0.000
5.758 5.758 5.758
```

The value obtained for the energy of formation from the pure elements is 0.01 eV/atom. Its crystal system is cubic.

---

Record 3
A plane-wave DFT calculation with PBE was carried out for crystalline LiGdZrZn at its relaxed geometry.

Geometry as POSCAR:
```
LiGdZrZn
1.0
6.983 0.000 0.000
0.000 6.983 0.000
0.000 0.000 6.983
Li Gd Zr Zn
4 4 4 4
Cartesian
0.000 0.000 0.000
0.000 3.492 3.492
3.492 0.000 3.492
3.492 3.492 0.000
1.746 1.746 1.746
1.746 5.238 5.238
5.238 1.746 5.238
5.238 5.238 1.746
1.746 1.746 5.238
1.746 5.238 1.746
5.238 1.746 1.746
5.238 5.238 5.238
0.000 0.000 3.492
0.000 3.492 0.000
3.492 0.000 0.000
3.492 3.492 3.492
```

The value obtained for the energy of formation from the pure elements is 0.00 eV/atom. Its crystal system is cubic.

---

Record 4
A plane-wave DFT calculation with PBE was carried out for crystalline Li2GdZr at its relaxed geometry.

Geometry as POSCAR:
```
Li2GdZr
1.0
3.092 0.000 0.000
-1.546 2.678 0.000
0.000 0.000 35.508
Li Gd Zr
6 3 3
Cartesian
0.000 0.000 2.991
0.000 0.000 32.517
0.000 1.785 20.681
0.000 1.785 26.663
1.546 0.893 8.845
1.546 0.893 14.827
0.000 0.000 17.754
0.000 1.785 5.918
1.546 0.893 29.590
0.000 0.000 0.000
0.000 1.785 23.672
1.546 0.893 11.836
```

The value obtained for the energy of formation from the pure elements is 0.38 eV/atom. Its crystal system is trigonal.